Model A:
DyHo3Mg: relaxed, PBE-GGA.

* SG: No. 12

Unit cell a=3.6140 b=6.6256 c=12.9150 alpha=86.74 beta=90.00 gamma=74.16
Closest atoms and distances in Å follow each position.
Element x y z (fractional)
Dy (0.2347, 0.5313, 0.7648)  2 Mg 3.31, 8 Ho 3.48-3.63, 2 Dy 3.61
Dy (0.7653, 0.4687, 0.2352)  2 Mg 3.31, 8 Ho 3.48-3.63, 2 Dy 3.61
Ho (0.1512, 0.6976, 0.4348)  4 Mg 3.27-3.32, 5 Ho 3.44-3.61, 2 Dy 3.53
Ho (0.3662, 0.2676, 0.0215)  9 Ho 3.46-3.61, 3 Dy 3.60-3.63
Ho (0.0340, 0.9310, 0.1881)  2 Mg 3.35, 7 Ho 3.44-3.61, 3 Dy 3.48-3.52
Ho (0.8488, 0.3024, 0.5652)  4 Mg 3.27-3.32, 5 Ho 3.44-3.61, 2 Dy 3.53
Ho (0.9660, 0.0690, 0.8119)  2 Mg 3.35, 7 Ho 3.44-3.61, 3 Dy 3.48-3.52
Ho (0.6338, 0.7324, 0.9785)  9 Ho 3.46-3.61, 3 Dy 3.60-3.63
Mg (0.5637, 0.8738, 0.6219)  6 Ho 3.27-3.35, 2 Dy 3.31, 3 Mg 3.45-3.61
Mg (0.4363, 0.1262, 0.3781)  6 Ho 3.27-3.35, 2 Dy 3.31, 3 Mg 3.45-3.61


Model B:
DyHo3Mg: relaxed, PBE-GGA.

* SG: No. 11

Unit cell a=3.4584 b=12.7995 c=6.9108 alpha=90.00 beta=90.00 gamma=97.73
Closest atoms and distances in Å follow each position.
Element x y z (fractional)
Dy (0.7043, 0.9069, 0.7500)  4 Mg 3.30-3.49, 2 Dy 3.46, 4 Ho 3.57
Dy (0.2957, 0.0931, 0.2500)  4 Mg 3.30-3.49, 2 Dy 3.46, 4 Ho 3.57
Ho (0.0986, 0.6983, 0.5093)  2 Mg 3.31-3.32, 8 Ho 3.33-3.58, 2 Dy 3.57
Ho (0.9014, 0.3017, 0.4907)  2 Mg 3.31-3.32, 8 Ho 3.33-3.58, 2 Dy 3.57
Ho (0.0986, 0.6983, 0.9907)  2 Mg 3.31-3.32, 8 Ho 3.33-3.58, 2 Dy 3.57
Ho (0.9014, 0.3017, 0.0093)  2 Mg 3.31-3.32, 8 Ho 3.33-3.58, 2 Dy 3.57
Ho (0.4987, 0.4974, 0.7500)  12 Ho 3.46-3.52
Ho (0.5013, 0.5026, 0.2500)  12 Ho 3.46-3.52
Mg (0.3169, 0.1289, 0.7500)  4 Dy 3.30-3.49, 4 Ho 3.31-3.32, 2 Mg 3.46
Mg (0.6831, 0.8711, 0.2500)  4 Dy 3.30-3.49, 4 Ho 3.31-3.32, 2 Mg 3.46


Name the least stable of them. model B.


Model A:
TbDyHoMg: relaxed, PBE-GGA.

* SG: No. 216

Unit cell a=5.4918 b=5.4918 c=5.4918 alpha=60.00 beta=60.00 gamma=60.00
Closest atoms and distances in Å follow each position.
Element x y z (fractional)
Mg (0.5000, 0.5000, 0.5000)  4 Dy 3.36, 4 Tb 3.36
Tb (0.2500, 0.2500, 0.2500)  4 Ho 3.36, 4 Mg 3.36
Ho (0.0000, 0.0000, 0.0000)  4 Tb 3.36, 4 Dy 3.36
Dy (0.7500, 0.7500, 0.7500)  4 Ho 3.36, 4 Mg 3.36


Model B:
TbDyHoMg: relaxed, PBE-GGA.

* SG: No. 99

Unit cell a=3.5734 b=3.5734 c=9.2451 alpha=90.00 beta=90.00 gamma=90.00
Closest atoms and distances in Å follow each position.
Element x y z (fractional)
Tb (0.5000, 0.5000, 0.8069)  4 Mg 3.35, 4 Dy 3.52, 4 Tb 3.57
Dy (0.0000, 0.0000, 0.0726)  4 Ho 3.51, 4 Tb 3.52, 4 Dy 3.57
Ho (0.5000, 0.5000, 0.3358)  4 Mg 3.32, 4 Dy 3.51, 4 Ho 3.57
Mg (0.0000, 0.0000, 0.5693)  4 Ho 3.32, 4 Tb 3.35, 4 Mg 3.57


Name the least stable of them. model A.


Model A:
DyHoThMg: relaxed, PBE-GGA.

* SG: No. 216

Unit cell a=5.5272 b=5.5272 c=5.5272 alpha=60.00 beta=60.00 gamma=60.00
Closest atoms and distances in Å follow each position.
Element x y z (fractional)
Mg (0.0000, 0.0000, 0.0000)  4 Dy 3.38, 4 Ho 3.38
Ho (0.2500, 0.2500, 0.2500)  4 Mg 3.38, 4 Th 3.38
Th (0.5000, 0.5000, 0.5000)  4 Ho 3.38, 4 Dy 3.38
Dy (0.7500, 0.7500, 0.7500)  4 Mg 3.38, 4 Th 3.38


Model B:
DyHoThMg: relaxed, PBE-GGA.

* SG: No. 99

Unit cell a=3.5783 b=3.5783 c=9.2014 alpha=90.00 beta=90.00 gamma=90.00
Closest atoms and distances in Å follow each position.
Element x y z (fractional)
Dy (0.0000, 0.0000, 0.5610)  4 Mg 3.36, 4 Th 3.49, 4 Dy 3.58
Ho (0.0000, 0.0000, 0.0816)  4 Mg 3.35, 4 Th 3.48, 4 Ho 3.58
Th (0.5000, 0.5000, 0.8220)  4 Ho 3.48, 4 Dy 3.49, 4 Th 3.58
Mg (0.5000, 0.5000, 0.3201)  4 Ho 3.35, 4 Dy 3.36, 4 Mg 3.58


Name the least stable of them. model A.